DFT (PBE) results for a geometry-optimized Cs2UZn2S6 structure.

Cell: 7.3972 7.3972 21.3942 Å, 90.00 90.00 120.00°
Space group R-3m (No. 166, hexagonal axes)
Asymmetric unit:
Cs 0.0000 0.0000 0.2198 (multiplicity 6)
U 0.0000 0.0000 0.0000 (multiplicity 3)
Zn 0.0000 0.0000 0.3997 (multiplicity 6)
S 0.0164 0.5082 0.7401 (multiplicity 18)

- raw total energy (eV/atom) = -4.668
- density (Mg/m³) = 4.064
- raw formation energy (meV/atom) = -1004

=====

DFT (PBE) results for a geometry-optimized Cs2U2ZnS6 structure.

Cell: 6.693 12.512 8.539 Å, 90.00 104.66 90.00°
Space group C2/m (No. 12)
Asymmetric unit:
Cs 0.000 0.154 0.000 (multiplicity 4)
U 0.000 0.334 0.500 (multiplicity 4)
Zn 0.000 0.000 0.500 (multiplicity 2)
S 0.234 0.182 0.683 (multiplicity 8)
S 0.245 0.000 0.349 (multiplicity 4)

- raw total energy (eV/atom) = -5.792
- density (Mg/m³) = 4.799
- raw formation energy (meV/atom) = -1217

=====

DFT (PBE) results for a geometry-optimized CsUZnS4 structure.

Cell: 6.392 6.803 9.004 Å, 90.00 96.95 90.00°
Space group P2_1/m (No. 11)
Asymmetric unit:
Cs 0.219 0.250 0.055 (multiplicity 2)
U 0.184 0.750 0.452 (multiplicity 2)
Zn 0.346 0.250 0.653 (multiplicity 2)
S 0.102 0.506 0.681 (multiplicity 4)
S 0.339 0.750 0.196 (multiplicity 2)
S 0.441 0.250 0.414 (multiplicity 2)

- raw total energy (eV/atom) = -5.396
- density (Mg/m³) = 4.824
- raw formation energy (meV/atom) = -1121

=====

DFT (PBE) results for a geometry-optimized Cs3ZrU3S8 structure.

Cell: 7.9450 7.9450 24.8432 Å, 90.00 90.00 120.00°
Space group R-3m (No. 166, hexagonal axes)
Asymmetric unit:
Cs 0.0000 0.5000 0.0000 (multiplicity 9)
Zr 0.0000 0.0000 0.5000 (multiplicity 3)
U 0.0000 0.5000 0.5000 (multiplicity 9)
S 0.0000 0.0000 0.2282 (multiplicity 6)
S 0.0113 0.5056 0.2258 (multiplicity 18)

- raw total energy (eV/atom) = -6.625
- density (Mg/m³) = 5.358
- raw formation energy (meV/atom) = -1426

=====

> Among the records above, which one has the lowest raw total energy?

Cs3ZrU3S8